[1]
A plane-wave DFT calculation with GGA-PBE was carried out for crystalline Tm6GeTe5 at its relaxed geometry.

Output
* VASP energy: -5.14 eV/atom

abc: 7.419 7.419 7.412
angles: 99.58 99.58 119.93
Atoms (fractional coordinates):
Ge 0.000 0.000 0.000
Tm 0.382 0.075 0.229
Tm 0.925 0.618 0.771
Tm 0.224 0.224 0.762
Tm 0.776 0.776 0.238
Tm 0.075 0.382 0.229
Tm 0.618 0.925 0.771
Te 0.824 0.176 0.500
Te 0.664 0.336 0.000
Te 0.500 0.500 0.500
Te 0.336 0.664 0.000
Te 0.176 0.824 0.500

[2]
A plane-wave DFT calculation with GGA-PBE was carried out for crystalline Tm2GeTe4 at its relaxed geometry.

Output
* VASP energy: -4.70 eV/atom

abc: 4.308 7.524 8.371
angles: 118.08 104.91 90.00
Atoms (fractional coordinates):
Tm 0.739 0.756 0.478
Tm 0.261 0.244 0.522
Ge 0.000 0.000 0.000
Te 0.882 0.211 0.763
Te 0.118 0.789 0.237
Te 0.631 0.288 0.263
Te 0.369 0.712 0.737

[3]
A plane-wave DFT calculation with GGA-PBE was carried out for crystalline YTmGeTe at its relaxed geometry.

Output
* VASP energy: -5.85 eV/atom

abc: 4.223 4.223 7.462
angles: 73.56 73.56 60.00
Atoms (fractional coordinates):
Y 0.740 0.740 0.781
Tm 0.260 0.260 0.219
Ge 0.999 0.999 0.004
Te 0.501 0.501 0.496